Entry 1:
This record from Alexandria via LeMat-Bulk describes a relaxed structure of CuReNi. The functional is PBE-GGA.

a b c (Å): 5.520 5.520 5.520
angles (deg): 90.00 90.00 90.00
Element x y z (fractional)
Cu  0.000  0.000  0.000
Cu  0.000  0.500  0.500
Cu  0.500  0.000  0.500
Cu  0.500  0.500  0.000
Re  0.000  0.000  0.500
Re  0.000  0.500  0.000
Re  0.500  0.000  0.000
Re  0.500  0.500  0.500
Ni  0.250  0.250  0.250
Ni  0.250  0.750  0.750
Ni  0.750  0.250  0.750
Ni  0.750  0.750  0.250

Summary:
ΔH_f (0 K)	0.58	eV per atom
energy above the most stable polymorph in this dataset	532.5	meV/atom
symmetry	No. 216

Entry 2:
This record from Alexandria via LeMat-Bulk describes a relaxed structure of LaY2TlNi. The functional is PBE-GGA.

a b c (Å): 5.362 5.362 5.155
angles (deg): 90.00 90.00 90.00
Element x y z (fractional)
La  0.000  0.000  0.000
Y  0.000  0.500  0.500
Y  0.500  0.000  0.500
Tl  0.500  0.500  0.000
Ni  0.000  0.000  0.500

Summary:
ΔH_f (0 K)	-0.21	eV per atom
symmetry	No. 123

Entry 3:
This record from Alexandria via LeMat-Bulk describes a relaxed structure of KRuWN2. The functional is PBE-GGA.

a b c (Å): 4.092 4.092 4.988
angles (deg): 90.00 90.00 90.00
Element x y z (fractional)
K  0.000  0.000  0.000
Ru  0.500  0.500  0.500
W  0.500  0.500  0.000
N  0.000  0.500  0.500
N  0.500  0.000  0.500

Summary:
raw formation energy	1.889	eV/atom
symmetry	No. 123

Number 1: VASP energy -6.867 eV/atom, volume 168.24 Å³/cell. Number 2: VASP energy -5.407 eV/atom, volume 148.21 Å³/cell. Number 3: VASP energy -6.106 eV/atom, volume 83.51 Å³/cell.